# YAs2Os PBE optimized geometry
# Calculated formation energy in eV per atom: -0.126
# Energy above the lowest structure with this stoichiometry in meV/atom: 414
data_YAs2Os
_chemical_formula_sum 'Y4 As8 Os4'
_cell_length_a 5.404
_cell_length_b 5.404
_cell_length_c 13.817
_cell_angle_alpha 90.00
_cell_angle_beta 90.00
_cell_angle_gamma 90.00
_space_group_name_H-M_alt 'I -4 2 d'
_space_group_IT_number 122
_space_group_name_Hall 'I -4 2bw'
loop_
_atom_site_label
_atom_site_type_symbol
_atom_site_fract_x
_atom_site_fract_y
_atom_site_fract_z
Y1 Y 0.000 0.000 0.000
As1 As 0.173 0.250 0.625
Os1 Os 0.000 0.000 0.500


# Tm3Fe3Pb PBE optimized geometry
# Calculated formation energy in eV per atom: -0.126
data_Tm3Fe3Pb
_chemical_formula_sum 'Tm6 Fe6 Pb2'
_cell_length_a 9.2886
_cell_length_b 9.2886
_cell_length_c 4.0875
_cell_angle_alpha 90.00
_cell_angle_beta 90.00
_cell_angle_gamma 120.00
_space_group_name_H-M_alt 'P 63/m'
_space_group_IT_number 176
_space_group_name_Hall '-P 6c'
loop_
_atom_site_label
_atom_site_type_symbol
_atom_site_fract_x
_atom_site_fract_y
_atom_site_fract_z
Tm1 Tm 0.0724 0.6827 0.2500
Fe1 Fe 0.0202 0.8626 0.7500
Pb1 Pb 0.3333 0.6667 0.7500


# Ac8Pt3SI3 PBE optimized geometry
# Uncorrected formation energy in kJ/mol of atoms: -110
data_Ac8Pt3SI3
_chemical_formula_sum 'Ac24 Pt9 S3 I9'
_cell_length_a 9.0323
_cell_length_b 9.0323
_cell_length_c 24.6125
_cell_angle_alpha 90.00
_cell_angle_beta 90.00
_cell_angle_gamma 120.00
_space_group_name_H-M_alt 'R -3 m'
_space_group_IT_number 166
_space_group_name_Hall '-R 3 2"'
loop_
_atom_site_label
_atom_site_type_symbol
_atom_site_fract_x
_atom_site_fract_y
_atom_site_fract_z
Ac1 Ac 0.0000 0.0000 0.2294
Ac2 Ac 0.0149 0.5074 0.7668
Pt1 Pt 0.0000 0.5000 0.5000
S1 S 0.0000 0.0000 0.5000
I1 I 0.0000 0.5000 0.0000


Number 1: V 25.2 Å³/atom, N(E_F) 0.6485 states/eV per atom. Number 2: V 21.8 Å³/atom, N(E_F) 0.9906 states/eV per atom. Number 3: V 38.6 Å³/atom, N(E_F) 0.9074 states/eV per atom.